DFT (PBE+U) results for NiW2O after structural relaxation.

The space group is I-42d (No. 122) and the conventional cell measures 5.149, 5.149 and 10.272 Å, with angles of 90.00, 90.00 and 90.00 degrees. The asymmetric unit holds Ni at (0.000, 0.000, 0.000), W at (0.194, 0.250, 0.625) and O at (0.000, 0.000, 0.500).

Its crystal system is tetragonal. As for the total energy: -0.3365 Ry/atom. The volume is 272.3 Å³/cell.